Material: Y6MoO12
Method: DFT, GGA+U
State: optimized geometry

```
19
Lattice="6.4044 0.0000 0.0000 2.6951 6.0027 0.0000 3.1081 0.8051 8.9609" Properties=species:S:1:pos:R:3 pbc="T T T"
Y 2.2834 1.8607 2.5445
Y 6.2563 5.0043 8.9418
Y 4.3175 0.9513 6.0737
Y 7.8900 5.8565 2.8872
Y 5.9512 1.8034 0.0191
Y 9.9241 4.9471 6.4165
Mo 3.2022 0.0000 0.0000
O 3.4843 2.8615 6.9470
O 5.6582 5.3602 6.8201
O 4.4260 1.0827 8.7824
O 3.7276 1.3161 4.0401
O 5.7191 5.7414 1.8807
O 3.5581 1.9400 0.3971
O 8.6494 4.8678 8.5639
O 6.4884 1.0664 7.0802
O 8.4799 5.4917 4.9209
O 7.7815 5.7251 0.1785
O 6.5494 1.4476 2.1408
O 8.7233 3.9463 2.0139
```

Results
Space group: P-1 (2)
Crystal system: triclinic
Volume: 344.5 Å³/cell
E_tot: -8.517 eV per atom